Record 1
VASP calculation (PBE) on a relaxed CdSn2Au8 crystal.

Calculated values
Energy of formation ... -0.085 eV/atom
Space group ... Immm
Energy above the lowest structure with this stoichiometry ... 0.00 eV/f.u.

Lattice parameters (Å, degrees): 7.829 7.829 7.829 149.02 113.74 74.93
Sites, in units of the cell vectors:
Cd1 0.000 0.000 0.000
Sn1 0.350 0.350 0.000
Sn2 0.650 0.650 0.000
Au1 0.090 0.838 0.253
Au2 0.175 0.675 0.500
Au3 0.243 0.500 0.743
Au4 0.415 0.162 0.253
Au5 0.585 0.838 0.747
Au6 0.757 0.500 0.257
Au7 0.825 0.325 0.500
Au8 0.910 0.162 0.747

---

Record 2
VASP calculation (PBE) on a relaxed Cd5SnAu4 crystal.

Calculated values
Energy of formation ... -0.147 eV/atom
Space group ... C2/m

Lattice parameters (Å, degrees): 7.435 7.435 6.748 90.87 90.87 36.99
Sites, in units of the cell vectors:
Cd1 0.000 0.000 0.000
Cd2 0.325 0.325 0.002
Cd3 0.325 0.325 0.504
Cd4 0.675 0.675 0.496
Cd5 0.675 0.675 0.998
Sn1 0.000 0.000 0.500
Au1 0.165 0.165 0.747
Au2 0.493 0.493 0.757
Au3 0.507 0.507 0.243
Au4 0.835 0.835 0.253

---

Record 3
VASP calculation (PBE) on a relaxed CdSnAu3 crystal.

Calculated values
Energy of formation ... 0.494 eV/atom
Space group ... Pm-3m
Energy above the lowest structure with this stoichiometry ... 3.15 eV/f.u.

Lattice parameters (Å, degrees): 5.154 5.154 5.154 90.00 90.00 90.00
Sites, in units of the cell vectors:
Cd1 0.000 0.000 0.000
Sn1 0.500 0.500 0.500
Au1 0.000 0.000 0.500
Au2 0.000 0.500 0.000
Au3 0.500 0.000 0.000

---

> Look up the energy of formation of the first one.

-0.085 eV/atom